# Ba2DyMoO6

A geometry-optimized Ba2DyMoO6 structure (PBE with a Hubbard U, the Alexandria database).

The structure in CIF format:
```
data_Ba2DyMoO6
_cell_length_a 6.1217
_cell_length_b 6.1217
_cell_length_c 29.7387
_cell_angle_alpha 90.00
_cell_angle_beta 90.00
_cell_angle_gamma 120.00
_space_group_name_H-M_alt 'R -3 m'
_space_group_IT_number 166
_space_group_name_Hall '-R 3 2"'
loop_
_atom_site_label
_atom_site_type_symbol
_atom_site_fract_x
_atom_site_fract_y
_atom_site_fract_z
Ba1 Ba 0.0000 0.0000 0.1356
Ba2 Ba 0.0000 0.0000 0.2756
Dy1 Dy 0.0000 0.0000 0.4080
Mo1 Mo 0.0000 0.0000 0.0000
Mo2 Mo 0.0000 0.0000 0.5000
O1 O 0.0137 0.5068 0.1268
O2 O 0.0313 0.5157 0.7043
```

Computed properties:
**Total moment**: 0.03 μB/f.u.
**Final energy**: -7.112 eV per atom